# AlGeIr | OQMD via LeMat-Bulk | PBE | optimized geometry
data_AlGeIr
_chemical_formula_sum 'Al4 Ge4 Ir4'
_space_group_name_H-M_alt 'F -4 3 m'
_space_group_IT_number 216
_space_group_name_Hall 'F -4 2 3'
_cell_length_a 5.915
_cell_length_b 5.915
_cell_length_c 5.915
_cell_angle_alpha 90.00
_cell_angle_beta 90.00
_cell_angle_gamma 90.00
loop_
_atom_site_label
_atom_site_type_symbol
_atom_site_fract_x
_atom_site_fract_y
_atom_site_fract_z
Al1 Al 0.000 0.000 0.000
Ge1 Ge 0.000 0.000 0.500
Ir1 Ir 0.250 0.250 0.250
# Total moment ... 0.0 μB per cell
# Crystal system ... cubic
# Calculated volume ... 207.0 Å³/cell
# DFT total energy ... -6.21 eV per atom